[1]
NbSbAsP2 (GGA-PBEsol, relaxed); crystal system = tetragonal; formation energy without anion corrections = 0.603 eV per atom; space-group type = P4/mmm (123)
1.0
4.659 0.000 0.000
0.000 4.659 0.000
0.000 0.000 5.520
Sb Nb As P
1 1 1 2
direct
0.000 0.000 0.500
0.000 0.000 0.000
0.500 0.500 0.500
0.000 0.500 0.000
0.500 0.000 0.000

---

[2]
Nb2SiAsP (GGA-PBEsol, relaxed); crystal system = tetragonal; formation energy without anion corrections = 0.658 eV per atom; space-group type = P4/mmm (123)
1.0
-3.118 -1.888 -2.436
2.746 -3.728 -0.624
-1.802 -1.970 3.834
P Nb Si As
1 2 1 1
direct
0.000 0.000 0.000
0.000 0.000 0.500
0.000 0.500 0.000
0.500 0.500 0.500
0.500 0.000 0.000

---

[3]
Nb3AsPb (GGA-PBEsol, relaxed); crystal system = cubic; DFT formation energy = 0.6139 eV per atom; space-group type = Pm-3m (221)
1.0
-0.388 -4.685 0.729
3.115 0.299 3.582
-3.574 0.770 3.044
Pb Nb As
1 3 1
direct
0.500 0.500 0.500
0.000 0.500 0.000
0.000 0.000 0.500
0.500 0.000 0.000
0.000 0.000 0.000

---

[4]
NbAsPbSe2 (GGA-PBEsol, relaxed); crystal system = tetragonal; formation energy without anion corrections = 1.251 eV per atom; space-group type = P4/mmm (123)
1.0
5.178 0.000 0.000
0.000 5.233 0.000
0.000 0.000 5.233
Pb Nb As Se
1 1 1 2
direct
0.000 0.000 0.000
0.500 0.500 0.500
0.500 0.000 0.000
0.000 0.000 0.500
0.000 0.500 0.000

---

[5]
NbTe2AsPb (GGA-PBEsol, relaxed); crystal system = tetragonal; formation energy without anion corrections = 0.583 eV per atom; space-group type = P4/mmm (123)
1.0
-4.007 3.079 -1.376
0.458 -1.620 -4.959
-3.565 -4.178 1.035
Pb Nb Te As
1 1 2 1
direct
0.000 0.000 0.500
0.000 0.000 0.000
0.000 0.500 0.000
0.500 0.000 0.000
0.500 0.500 0.500

---

[6]
Nb5As4Pd4 (GGA-PBEsol, relaxed); crystal system = tetragonal; DFT formation energy = -0.5607 eV per atom; space-group type = I4/m (87)
1.0
3.774 0.000 0.000
1.887 7.395 0.000
1.887 0.000 7.395
Nb As Pd
5 4 4
direct
0.690 0.930 0.691
0.310 0.070 0.309
0.000 0.000 0.000
0.620 0.691 0.070
0.380 0.309 0.930
0.755 0.310 0.179
0.245 0.690 0.821
0.934 0.821 0.310
0.066 0.179 0.690
0.889 0.517 0.705
0.594 0.295 0.517
0.111 0.483 0.295
0.406 0.705 0.483